Entry 1:
First-principles (GGA-PBEsol) data for a geometry-optimized SrPtSe structure, as listed in the Alexandria database.

## Properties
The value obtained for the uncorrected formation energy is -3.4 eV per formula unit. As for the symmetry: P-6m2.

Cell: 4.139 4.359 4.359 Å, 120.00 90.00 90.00°
Element x y z (fractional)
Sr: 0.500 0.333 0.667
Pt: 0.000 0.000 0.000
Se: 0.000 0.667 0.333


Entry 2:
First-principles (GGA-PBEsol) data for a geometry-optimized TaPtSe2 structure, as listed in the Alexandria database.

## Properties
The value obtained for the uncorrected formation energy is 0.3 eV per formula unit. As for the symmetry: I-42d.

Cell: 5.826 5.826 6.768 Å, 115.49 115.49 90.00°
Element x y z (fractional)
Ta: 0.750 0.250 0.500
Se: 0.125 0.123 0.750
Se: 0.877 0.375 0.250
Pt: 0.250 0.750 0.500
Ta: 0.500 0.500 0.000
Pt: 0.000 0.000 0.000
Se: 0.625 0.627 0.750
Se: 0.373 0.875 0.250


Entry 3:
First-principles (GGA-PBEsol) data for a geometry-optimized Ta2PtSe structure, as listed in the Alexandria database.

## Properties
The value obtained for the uncorrected formation energy is -1.7 eV per formula unit. As for the symmetry: P4/mmm.

Cell: 3.004 3.004 7.104 Å, 90.00 90.00 90.00°
Element x y z (fractional)
Ta: 0.000 0.000 0.264
Se: 0.500 0.500 0.500
Ta: 0.000 0.000 0.736
Pt: 0.500 0.500 0.000


Entry 4:
First-principles (GGA-PBEsol) data for a geometry-optimized Ta2PtSe structure, as listed in the Alexandria database.

## Properties
The value obtained for the uncorrected formation energy is -0.3 eV per formula unit. As for the symmetry: Pmmm.

Cell: 3.451 4.100 4.743 Å, 90.00 90.00 90.00°
Element x y z (fractional)
Se: 0.000 0.500 0.500
Ta: 0.500 0.000 0.500
Ta: 0.000 0.000 0.000
Pt: 0.500 0.500 0.000


Entry 5:
First-principles (GGA-PBEsol) data for a geometry-optimized Ta2Pt3Se8 structure, as listed in the Alexandria database.

## Properties
The value obtained for the uncorrected formation energy is -8.2 eV per formula unit. As for the symmetry: Pbam.

Cell: 3.551 10.821 15.008 Å, 90.00 90.00 90.00°
Element x y z (fractional)
Ta: 0.500 0.203 0.122
Se: 0.500 0.059 0.622
Pt: 0.000 0.362 0.221
Pt: 0.000 0.000 0.000
Se: 0.000 0.726 0.505
Pt: 0.000 0.638 0.779
Ta: 0.500 0.297 0.622
Se: 0.000 0.274 0.495
Se: 0.000 0.966 0.840
Se: 0.500 0.763 0.708
Se: 0.000 0.226 0.995
Se: 0.000 0.466 0.660
Pt: 0.000 0.862 0.279
Se: 0.500 0.263 0.792
Se: 0.500 0.737 0.208
Se: 0.000 0.034 0.160
Pt: 0.000 0.138 0.721
Se: 0.500 0.237 0.292
Se: 0.000 0.534 0.340
Pt: 0.000 0.500 0.500
Se: 0.500 0.441 0.122
Ta: 0.500 0.797 0.878
Se: 0.000 0.774 0.005
Se: 0.500 0.941 0.378
Ta: 0.500 0.703 0.378
Se: 0.500 0.559 0.878


Entry 6:
First-principles (GGA-PBEsol) data for a geometry-optimized TcPtSe3 structure, as listed in the Alexandria database.

## Properties
The value obtained for the uncorrected formation energy is 5.4 eV per formula unit. As for the symmetry: Pm-3m.

Cell: 4.871 4.871 4.871 Å, 90.00 90.00 90.00°
Site moments in Bohr magnetons follow the coordinates.
Element x y z (fractional)
Se: 0.000 0.500 0.000  -0.08
Pt: 0.000 0.000 0.000  -0.05
Tc: 0.500 0.500 0.500  3.79
Se: 0.500 0.000 0.000  -0.08
Se: 0.000 0.000 0.500  -0.08


Entry 7:
First-principles (GGA-PBEsol) data for a geometry-optimized TcPtSe2 structure, as listed in the Alexandria database.

## Properties
The value obtained for the uncorrected formation energy is 1.2 eV per formula unit. The value obtained for the relative energy among the computed polymorphs is 234 meV per atom. As for the symmetry: Cmmm.

Cell: 2.665 5.140 5.140 Å, 107.66 90.00 90.00°
Element x y z (fractional)
Se: 0.000 0.000 0.500
Pt: 0.000 0.000 0.000
Se: 0.000 0.500 0.000
Tc: 0.000 0.500 0.500


Entry 8:
First-principles (GGA-PBEsol) data for a geometry-optimized TcPtSe2 structure, as listed in the Alexandria database.

## Properties
The value obtained for the uncorrected formation energy is 1.2 eV per formula unit. The value obtained for the relative energy among the computed polymorphs is 228 meV per atom. As for the symmetry: I4/mmm.

Cell: 4.225 4.598 4.225 Å, 62.65 90.00 117.35°
Element x y z (fractional)
Se: 0.750 0.500 0.750
Pt: 0.000 0.000 0.000
Se: 0.250 0.500 0.250
Tc: 0.500 0.000 0.500


Number 1: total energy -16.07 eV per cell. Number 2: total energy -53.87 eV per cell. Number 3: total energy -37.58 eV per cell. Number 4: total energy -36.17 eV per cell. Number 5: total energy -170.08 eV per cell. Number 6: total energy -24.41 eV per cell. Number 7: total energy -24.75 eV per cell. Number 8: total energy -24.78 eV per cell.